# Tm4Ni2Os, optimized geometry, DFT PBE-GGA
data_Tm4Ni2Os
_chemical_formula_sum 'Tm12 Ni6 Os3'
_symmetry_space_group_name_H-M 'R -3 m'
_symmetry_Int_Tables_number 166
_symmetry_space_group_name_Hall '-R 3 2"'
_cell_length_a 4.7021
_cell_length_b 4.7021
_cell_length_c 23.1753
_cell_angle_alpha 90.00
_cell_angle_beta 90.00
_cell_angle_gamma 120.00
loop_
_atom_site_label
_atom_site_type_symbol
_atom_site_fract_x
_atom_site_fract_y
_atom_site_fract_z
_atom_site_occupancy
Tm1 Tm 0.0000 0.0000 0.1238 1
Tm2 Tm 0.0000 0.0000 0.3755 1
Ni1 Ni 0.0000 0.0000 0.2515 1
Os1 Os 0.0000 0.0000 0.0000 1
# energy above the most stable polymorph in this dataset = 0.0 meV per atom
# magnetic moment = 0.0 μB/cell
# ΔE_f = -0.347 eV per atom